Ag3BiC | PBE-GGA | relaxed

Output
* volume: 18.64 A^3/atom
* raw total energy: -17.4 eV per cell
* ΔH_f (0 K): 855 meV/atom
* excess energy over the best structure of this formula in the dataset: 0.000 eV/atom

abc: 4.5336 4.5336 4.5336
angles: 90.00 90.00 90.00
Space group Pm-3m (No. 221)
One atom of each set of equivalent atoms:
1 Ag 0.0000 0.0000 0.5000 [3 per cell]
2 Bi 0.5000 0.5000 0.5000 [1 per cell]
3 C 0.0000 0.0000 0.0000 [1 per cell]

AgBi2C | PBE-GGA | relaxed

Output
* volume: 26.28 A^3/atom
* raw total energy: -64.8 eV per cell
* ΔH_f (0 K): 912 meV/atom

abc: 6.2497 6.2497 10.7665
angles: 90.00 90.00 90.00
Space group I-42d (No. 122)
One atom of each set of equivalent atoms:
1 Ag 0.0000 0.0000 0.0000 [4 per cell]
2 Bi 0.1884 0.2500 0.6250 [8 per cell]
3 C 0.0000 0.0000 0.5000 [4 per cell]

AgBiC2 | PBE-GGA | relaxed

Output
* volume: 17.72 A^3/atom
* raw total energy: -71.4 eV per cell
* ΔH_f (0 K): 1835 meV/atom

abc: 5.2103 5.2103 10.4452
angles: 90.00 90.00 90.00
Space group I-42d (No. 122)
One atom of each set of equivalent atoms:
1 Ag 0.0000 0.0000 0.0000 [4 per cell]
2 Bi 0.0000 0.0000 0.5000 [4 per cell]
3 C 0.2264 0.2500 0.1250 [8 per cell]

AgBi2C2 | PBE-GGA | relaxed

Output
* volume: 19.07 A^3/atom
* raw total energy: -47.0 eV per cell
* ΔH_f (0 K): 1113 meV/atom
* excess energy over the best structure of this formula in the dataset: 0.000 eV/atom

abc: 5.3393 5.3393 6.6884
angles: 90.00 90.00 90.00
Space group I4/mmm (No. 139)
One atom of each set of equivalent atoms:
1 Ag 0.0000 0.0000 0.0000 [2 per cell]
2 Bi 0.0000 0.5000 0.2500 [4 per cell]
3 C 0.0000 0.0000 0.4017 [4 per cell]

AgBi2C2 | PBE-GGA | relaxed

Output
* volume: 18.60 A^3/atom
* raw total energy: -41.9 eV per cell
* ΔH_f (0 K): 1626 meV/atom
* excess energy over the best structure of this formula in the dataset: 0.513 eV/atom

abc: 7.2185 7.2185 3.5702
angles: 90.00 90.00 90.00
Space group P4/mbm (No. 127)
One atom of each set of equivalent atoms:
1 Ag 0.0000 0.0000 0.0000 [2 per cell]
2 Bi 0.1610 0.3390 0.5000 [4 per cell]
3 C 0.1896 0.6896 0.0000 [4 per cell]

Ag3BiC | PBE-GGA | relaxed

Output
* volume: 32.18 A^3/atom
* raw total energy: -12.3 eV per cell
* ΔH_f (0 K): 1877 meV/atom
* excess energy over the best structure of this formula in the dataset: 1.022 eV/atom

abc: 5.4388 5.4388 5.4388
angles: 90.00 90.00 90.00
Space group Pm-3m (No. 221)
One atom of each set of equivalent atoms:
1 Ag 0.0000 0.0000 0.5000 [3 per cell]
2 Bi 0.0000 0.0000 0.0000 [1 per cell]
3 C 0.5000 0.5000 0.5000 [1 per cell]

La2AgBiC | PBE-GGA | relaxed

Output
* volume: 25.14 A^3/atom
* raw total energy: -27.5 eV per cell
* ΔH_f (0 K): -346 meV/atom

abc: 5.3355 5.3355 4.4152
angles: 90.00 90.00 90.00
Space group P4/mmm (No. 123)
One atom of each set of equivalent atoms:
1 La 0.0000 0.5000 0.0000 [2 per cell]
2 Ag 0.0000 0.0000 0.5000 [1 per cell]
3 Bi 0.5000 0.5000 0.5000 [1 per cell]
4 C 0.0000 0.0000 0.0000 [1 per cell]

AgBiMoC2 | PBE-GGA | relaxed

Output
* volume: 19.38 A^3/atom
* raw total energy: -22.5 eV per cell
* ΔH_f (0 K): 2705 meV/atom

abc: 4.1355 4.1355 5.6658
angles: 90.00 90.00 90.00
Space group P4/mmm (No. 123)
One atom of each set of equivalent atoms:
1 Ag 0.0000 0.0000 0.0000 [1 per cell]
2 Bi 0.0000 0.0000 0.5000 [1 per cell]
3 Mo 0.5000 0.5000 0.5000 [1 per cell]
4 C 0.0000 0.5000 0.0000 [2 per cell]

AgBi2CN | PBE-GGA | relaxed

Output
* volume: 23.64 A^3/atom
* raw total energy: -17.4 eV per cell
* formation energy from raw total energies: 2.161 eV/atom

abc: 5.5732 5.5732 3.8061
angles: 90.00 90.00 90.00
Space group P4/mmm (No. 123)
One atom of each set of equivalent atoms:
1 Ag 0.0000 0.0000 0.0000 [1 per cell]
2 Bi 0.0000 0.5000 0.0000 [2 per cell]
3 C 0.5000 0.5000 0.5000 [1 per cell]
4 N 0.0000 0.0000 0.5000 [1 per cell]

Ag2BiC2O6 | PBE-GGA | relaxed

Output
* volume: 13.52 A^3/atom
* raw total energy: -134.1 eV per cell
* formation energy from raw total energies: -0.844 eV/atom

abc: 7.9175 6.3437 6.0565
angles: 90.00 102.09 90.00
Space group C2/m (No. 12)
One atom of each set of equivalent atoms:
1 Ag 0.1745 0.0000 0.0996 [4 per cell]
2 Bi 0.0000 0.0000 0.5000 [2 per cell]
3 C 0.0466 0.5000 0.2701 [4 per cell]
4 O 0.0427 0.3253 0.7487 [8 per cell]
5 O 0.2119 0.5000 0.2944 [4 per cell]

AgBiC2O6 | PBE-GGA | relaxed

Output
* volume: 13.97 A^3/atom
* raw total energy: -265.6 eV per cell
* formation energy from raw total energies: -1.147 eV/atom

abc: 9.8899 8.7327 7.6570
angles: 90.00 122.34 90.00
Space group C2/c (No. 15)
One atom of each set of equivalent atoms:
1 Ag 0.0000 0.0546 0.2500 [4 per cell]
2 Bi 0.0000 0.4180 0.7500 [4 per cell]
3 C 0.2407 0.3734 0.2878 [8 per cell]
4 O 0.0920 0.3842 0.1261 [8 per cell]
5 O 0.1513 0.1995 0.7168 [8 per cell]
6 O 0.2353 0.0502 0.5500 [8 per cell]

ReAgBi2C | PBE-GGA | relaxed

Output
* volume: 28.78 A^3/atom
* raw total energy: -22.0 eV per cell
* ΔH_f (0 K): 2066 meV/atom

abc: 5.2245 5.2245 5.2728
angles: 90.00 90.00 90.00
Space group P4/mmm (No. 123)
One atom of each set of equivalent atoms:
1 Re 0.0000 0.0000 0.0000 [1 per cell]
2 Ag 0.0000 0.0000 0.5000 [1 per cell]
3 Bi 0.0000 0.5000 0.0000 [2 per cell]
4 C 0.5000 0.5000 0.5000 [1 per cell]